Entry 1:
LaTa3Mn | PBE | optimized geometry

Computed properties:
Energy of formation from the pure elements in meV per atom: 2719
Space-group type: Pm-3m
Energy above the lowest structure with this stoichiometry in meV/atom: 2133
Crystal system: cubic

a = 4.8582 Å, b = 4.8582 Å, c = 4.8582 Å
α = 90.00°, β = 90.00°, γ = 90.00°
Last column: nearest neighbours and their distance in Å.
Positions (direct):
La (0.0000, 0.0000, 0.0000)  6 Ta 2.43
Mn (0.5000, 0.5000, 0.5000)  12 Ta 3.44
Ta (0.0000, 0.5000, 0.0000)  2 La 2.43
Ta (0.0000, 0.0000, 0.5000)  2 La 2.43
Ta (0.5000, 0.0000, 0.0000)  2 La 2.43



Entry 2:
NaCd2InCl8 | PBE | optimized geometry

Computed properties:
ΔE_f (raw) in meV/atom: -1175
Space-group type: P2/m
Crystal system: monoclinic

a = 6.4319 Å, b = 6.1214 Å, c = 7.9633 Å
α = 90.00°, β = 90.00°, γ = 89.92°
Last column: nearest neighbours and their distance in Å.
Positions (direct):
Na (0.0000, 0.0000, 0.5000)  6 Cl 2.76-2.79
Cd (0.5000, 0.5000, 0.7471)  6 Cl 2.60-2.75
Cd (0.5000, 0.5000, 0.2529)  6 Cl 2.60-2.75
In (0.0000, 0.0000, 0.0000)  6 Cl 2.52-2.69
Cl (0.1614, 0.7727, 0.2297)  1 In 2.52, 1 Cd 2.75, 1 Na 2.76
Cl (0.6666, 0.7346, 0.0000)  1 In 2.69, 2 Cd 2.70
Cl (0.8387, 0.2274, 0.2297)  1 In 2.52, 1 Cd 2.75, 1 Na 2.76
Cl (0.8386, 0.2273, 0.7703)  1 In 2.52, 1 Cd 2.75, 1 Na 2.76
Cl (0.3334, 0.2654, 0.0000)  1 In 2.69, 2 Cd 2.70
Cl (0.1613, 0.7726, 0.7703)  1 In 2.52, 1 Cd 2.75, 1 Na 2.76
Cl (0.6558, 0.7242, 0.5000)  2 Cd 2.60, 1 Na 2.79
Cl (0.3442, 0.2758, 0.5000)  2 Cd 2.60, 1 Na 2.79



Entry 3:
TbEu2Ho | PBE | optimized geometry

Computed properties:
Energy of formation from the pure elements in meV per atom: 170
Space-group type: Fm-3m
Energy above the lowest structure with this stoichiometry in meV/atom: 47
Crystal system: cubic

a = 5.8393 Å, b = 5.8393 Å, c = 5.8393 Å
α = 60.00°, β = 60.00°, γ = 60.00°
Last column: nearest neighbours and their distance in Å.
Positions (direct):
Eu (0.2500, 0.2500, 0.2500)  4 Ho 3.58, 4 Tb 3.58
Eu (0.7500, 0.7500, 0.7500)  4 Tb 3.58, 4 Ho 3.58
Tb (0.0000, 0.0000, 0.0000)  8 Eu 3.58
Ho (0.5000, 0.5000, 0.5000)  8 Eu 3.58



Entry 4:
KHfI2N | PBE | optimized geometry

Computed properties:
ΔE_f (raw) in meV/atom: -741
Space-group type: P4/mmm
Energy above the lowest structure with this stoichiometry in meV/atom: 0
Crystal system: tetragonal

a = 6.0466 Å, b = 6.0466 Å, c = 4.0677 Å
α = 90.00°, β = 90.00°, γ = 90.00°
Last column: nearest neighbours and their distance in Å.
Positions (direct):
I (0.0000, 0.5000, 0.0000)  2 Hf 3.02
I (0.5000, 0.0000, 0.0000)  2 Hf 3.02
K (0.5000, 0.5000, 0.5000)  8 I 3.64, 2 K 4.07
Hf (0.0000, 0.0000, 0.0000)  2 N 2.03
N (0.0000, 0.0000, 0.5000)  2 Hf 2.03



Entry 5:
In2TcMo | PBE | optimized geometry

Computed properties:
Energy of formation from the pure elements in meV per atom: 356
Space-group type: Pm
Energy above the lowest structure with this stoichiometry in meV/atom: 205
Crystal system: monoclinic

a = 4.3169 Å, b = 3.1008 Å, c = 5.8747 Å
α = 73.39°, β = 90.00°, γ = 90.00°
Last column: nearest neighbours and their distance in Å.
Positions (direct):
In (0.0000, 0.9606, 0.9730)  3 Mo 2.87-3.14, 4 Tc 2.92-3.05, 6 In 3.10-3.18
In (0.5000, 0.2844, 0.2760)  3 Tc 2.86-3.16, 4 Mo 2.94-3.04, 6 In 3.10-3.18
Mo (0.0000, 0.6222, 0.5185)  2 Tc 2.50
Tc (0.5000, 0.6328, 0.7325)  2 Mo 2.50



Entry 6:
Pa2TiMo | PBE | optimized geometry

Computed properties:
Energy of formation from the pure elements in meV per atom: 258
Space-group type: Fm-3m
Energy above the lowest structure with this stoichiometry in meV/atom: 19
Crystal system: cubic

a = 4.9311 Å, b = 4.9311 Å, c = 4.9311 Å
α = 60.00°, β = 60.00°, γ = 60.00°
Last column: nearest neighbours and their distance in Å.
Positions (direct):
Mo (0.5000, 0.5000, 0.5000)  8 Pa 3.02
Pa (0.2500, 0.2500, 0.2500)  4 Ti 3.02, 4 Mo 3.02
Pa (0.7500, 0.7500, 0.7500)  4 Mo 3.02, 4 Ti 3.02
Ti (0.0000, 0.0000, 0.0000)  8 Pa 3.02



Entry 7:
NiTe3Pb | PBE | optimized geometry

Computed properties:
ΔE_f (raw) in meV/atom: 69
Space-group type: Pm-3m
Energy above the lowest structure with this stoichiometry in meV/atom: 0
Crystal system: cubic

a = 5.1276 Å, b = 5.1276 Å, c = 5.1276 Å
α = 90.00°, β = 90.00°, γ = 90.00°
Last column: nearest neighbours and their distance in Å.
Positions (direct):
Pb (0.5000, 0.5000, 0.5000)  12 Te 3.63
Ni (0.0000, 0.0000, 0.0000)  6 Te 2.56
Te (0.0000, 0.5000, 0.0000)  2 Ni 2.56
Te (0.0000, 0.0000, 0.5000)  2 Ni 2.56
Te (0.5000, 0.0000, 0.0000)  2 Ni 2.56



Entry 8:
Sb2IrOs | PBE | optimized geometry

Computed properties:
ΔE_f (raw) in meV/atom: 387
Space-group type: R-3m
Energy above the lowest structure with this stoichiometry in meV/atom: 154
Crystal system: trigonal

a = 8.4070 Å, b = 8.4070 Å, c = 8.4070 Å
α = 22.08°, β = 22.08°, γ = 22.08°
Last column: nearest neighbours and their distance in Å.
Positions (direct):
Ir (0.2500, 0.2500, 0.2500)  6 Sb 2.79
Os (0.7500, 0.7500, 0.7500)  6 Sb 2.75
Sb (0.0011, 0.0011, 0.0011)  3 Os 2.75, 3 Ir 2.79
Sb (0.4989, 0.4989, 0.4989)  3 Os 2.75, 3 Ir 2.79